(1)
LiDyErOs | PBE-GGA | relaxed

Calculated values
As for the energy of formation from the pure elements: -0.255 eV/atom. For the density of states at the Fermi level, the calculation gives 2.4 states/eV/f.u. For the calculated density, the calculation gives 10695 kg/m3. As for the crystal system: cubic.

Cell and atoms, written as POSCAR:
```
LiDyErOs
1.0
0.0000 3.4456 3.4456
3.4456 0.0000 3.4456
3.4456 3.4456 0.0000
Li Dy Er Os
1 1 1 1
Cartesian
0.0000 0.0000 0.0000
1.7228 1.7228 1.7228
5.1684 5.1684 5.1684
3.4456 3.4456 3.4456
```

=====

(2)
Ce2HfP3Rh4 | PBE-GGA | relaxed

Calculated values
As for the energy of formation from the pure elements: -1.073 eV/atom. For the density of states at the Fermi level, the calculation gives 8.8 states/eV/f.u. For the calculated density, the calculation gives 9190 kg/m3. As for the crystal system: tetragonal.

Cell and atoms, written as POSCAR:
```
Ce2HfP3Rh4
1.0
4.0022 0.0000 0.0000
0.0000 4.0022 0.0000
0.0000 0.0000 10.8667
Ce Hf P Rh
2 1 3 4
Cartesian
0.0000 2.0011 2.4810
2.0011 0.0000 8.3857
0.0000 0.0000 5.4333
0.0000 2.0011 9.4560
2.0011 0.0000 1.4107
2.0011 2.0011 5.4333
0.0000 0.0000 0.0000
0.0000 2.0011 7.0869
2.0011 0.0000 3.7798
2.0011 2.0011 0.0000
```

=====

(3)
CaInMo3 | PBE-GGA | relaxed

Calculated values
As for the energy of formation from the pure elements: 2.007 eV/atom. As for the relative energy among the computed polymorphs: 0.000 eV/atom. For the density of states at the Fermi level, the calculation gives 9.2 states/eV/f.u. For the calculated density, the calculation gives 5865 kg/m3. As for the crystal system: cubic.

Cell and atoms, written as POSCAR:
```
CaInMo3
1.0
5.0045 0.0000 0.0000
0.0000 5.0045 0.0000
0.0000 0.0000 5.0045
Ca In Mo
1 1 3
Cartesian
0.0000 0.0000 0.0000
2.5023 2.5023 2.5023
0.0000 2.5023 2.5023
2.5023 0.0000 2.5023
2.5023 2.5023 0.0000
```